[1]
A PBEsol-optimized structure of Mn2SiP. Source: Alexandria, functional meta-GGA SCAN.

Summary:
energy = -56.6 eV/cell
space group = No. 216
total magnetic moment = 0.865 μB/atom
D(E_F) = 1.74 states/eV/cell
formation energy without anion corrections = 0.083 eV per atom

a = 4.0318 Å, b = 4.0318 Å, c = 4.0318 Å
α = 60.00°, β = 60.00°, γ = 60.00°
Positions (direct):
Mn  0.0000  0.0000  0.0000
Mn  0.2500  0.2500  0.2500
Si  0.7500  0.7500  0.7500
P  0.5000  0.5000  0.5000


[2]
A PBEsol-optimized structure of BaTa2Ru. Source: Alexandria, functional meta-GGA SCAN.

Summary:
energy = -206.1 eV/cell
space group = No. 99
total magnetic moment = 0.000 μB/atom
D(E_F) = 3.17 states/eV/cell
energy relative to the elements = 0.36 eV/atom

a = 3.1527 Å, b = 3.1527 Å, c = 8.6522 Å
α = 90.00°, β = 90.00°, γ = 90.00°
Positions (direct):
Ba  0.0000  0.0000  0.0000
Ta  0.0000  0.0000  0.4459
Ta  0.5000  0.5000  0.6584
Ru  0.5000  0.5000  0.2924


> Which value of total magnetic moment does entry 1 give?

0.865 μB/atom


What did the second record say?
A PBEsol-optimized structure of BaTa2Ru. Source: Alexandria, functional meta-GGA SCAN.

Summary:
energy = -206.1 eV/cell
space group = No. 99
total magnetic moment = 0.000 μB/atom
D(E_F) = 3.17 states/eV/cell
energy relative to the elements = 0.36 eV/atom

a = 3.1527 Å, b = 3.1527 Å, c = 8.6522 Å
α = 90.00°, β = 90.00°, γ = 90.00°
Positions (direct):
Ba  0.0000  0.0000  0.0000
Ta  0.0000  0.0000  0.4459
Ta  0.5000  0.5000  0.6584
Ru  0.5000  0.5000  0.2924


What did the first record say?
A PBEsol-optimized structure of Mn2SiP. Source: Alexandria, functional meta-GGA SCAN.

Summary:
energy = -56.6 eV/cell
space group = No. 216
total magnetic moment = 0.865 μB/atom
D(E_F) = 1.74 states/eV/cell
formation energy without anion corrections = 0.083 eV per atom

a = 4.0318 Å, b = 4.0318 Å, c = 4.0318 Å
α = 60.00°, β = 60.00°, γ = 60.00°
Positions (direct):
Mn  0.0000  0.0000  0.0000
Mn  0.2500  0.2500  0.2500
Si  0.7500  0.7500  0.7500
P  0.5000  0.5000  0.5000


> What is the total magnetic moment in the second record?

0.000 μB/atom